Below is a geometry-optimized NaPaAu2 structure, with properties calculated at the PBE level.

a = 5.006 Å, b = 5.006 Å, c = 5.006 Å
α = 60.00°, β = 60.00°, γ = 60.00°
Element x y z (fractional)
1 Na 0.000 0.000 0.000
2 Pa 0.500 0.500 0.500
3 Au 0.250 0.250 0.250
4 Au 0.750 0.750 0.750

Properties
final energy = -18.225 eV for the cell shown
excess energy over the best structure of this formula in the dataset = 0.046 eV per atom
E_form = -0.214 eV/atom
N(E_F) = 5.7 states/eV per cell
density = 12.13 g/cm³